# 1
PaTiBi2 after structural relaxation. Source: Alexandria, functional PBE.

Electronic total energy (eV/atom): -6.267
SG: No. 123
Calculated formation energy (eV per atom): 0.02
Excess energy over the best structure of this formula in the dataset (meV/atom): 60
Crystal system: tetragonal

Cell: 3.6642 3.6642 7.4337 Å, 90.00 90.00 90.00°
Fractional coordinates of all 4 atoms:
Bi 0.0000 0.0000 0.2257
Bi 0.0000 0.0000 0.7743
Ti 0.5000 0.5000 0.0000
Pa 0.5000 0.5000 0.5000

# 2
LaHfAu after structural relaxation. Source: Alexandria, functional PBE.

Electronic total energy (eV/atom): -6.436
SG: No. 1
Calculated formation energy (eV per atom): -0.38
Excess energy over the best structure of this formula in the dataset (meV/atom): 22
Crystal system: triclinic

Cell: 6.7146 3.6685 6.6564 Å, 90.01 90.04 74.16°
Fractional coordinates of all 6 atoms:
Hf 0.8001 0.2064 0.0848
Hf 0.7987 0.2072 0.5848
La 0.1942 0.5078 0.3356
La 0.4046 0.9059 0.8354
Au 0.0004 0.6063 0.8346
Au 0.5984 0.8074 0.3343

# 3
Ca2CdI after structural relaxation. Source: Alexandria, functional PBE.

Electronic total energy (eV/atom): -2.076
SG: No. 122
Formation energy from raw total energies (eV per formula unit): -1.83
Excess energy over the best structure of this formula in the dataset (meV/atom): 208
Crystal system: tetragonal

Cell: 8.4725 8.4725 7.2178 Å, 54.06 54.06 90.00°
Fractional coordinates of all 8 atoms:
Ca 0.1309 0.6250 0.2500
Ca 0.3750 0.3809 0.7500
Ca 0.8750 0.8691 0.7500
Ca 0.6191 0.1250 0.2500
I 0.0000 0.0000 0.0000
I 0.7500 0.2500 0.5000
Cd 0.2500 0.7500 0.5000
Cd 0.5000 0.5000 0.0000

no.,magnetic moment (μB per cell)
1,0.70
2,0.00
3,0.00